1.
A geometry-optimized Y4PdAu3 structure. Source: Alexandria, functional PBE.

Values from the calculation:
**N(E_F)**: 4.2 states/eV/cell
**Total magnetization**: 0.000 Bohr magnetons per cell
**Calculated volume**: 23.84 A^3/atom
**Calculated total energy**: -6.005 eV/atom
**E_form**: -0.894 eV/atom

Cell: 3.758 4.681 10.840 Å, 90.00 90.00 90.00°
Sites, in units of the cell vectors:
Au 0.500 0.000 0.915
Au 0.000 0.500 0.588
Au 0.000 0.000 0.412
Y 0.000 0.500 0.867
Y 0.000 0.000 0.137
Y 0.500 0.000 0.640
Y 0.500 0.500 0.356
Pd 0.500 0.500 0.086

---

2.
A geometry-optimized CsSb2Pt structure. Source: Alexandria, functional PBE.

Values from the calculation:
**Distance to the lowest polymorph of the same formula**: 0.000 eV/atom
**N(E_F)**: 1.5 states/eV/cell
**Total magnetization**: 0.000 Bohr magnetons per cell
**Calculated volume**: 32.49 A^3/atom
**Calculated total energy**: -4.264 eV/atom
**Uncorrected formation energy**: -0.479 eV/atom

Cell: 4.360 4.360 8.286 Å, 74.75 74.75 60.00°
Sites, in units of the cell vectors:
Pt 0.000 0.000 0.000
Sb 0.287 0.287 0.138
Sb 0.713 0.713 0.862
Cs 0.500 0.500 0.500

---

3.
A geometry-optimized Y2Hf3Pt4 structure. Source: Alexandria, functional PBE.

Values from the calculation:
**N(E_F)**: 17.4 states/eV/cell
**Total magnetization**: 0.000 Bohr magnetons per cell
**Calculated volume**: 21.15 A^3/atom
**Calculated total energy**: -8.524 eV/atom
**E_form**: -1.085 eV/atom

Cell: 7.808 7.134 7.310 Å, 90.00 90.00 110.78°
Sites, in units of the cell vectors:
Pt 0.625 0.902 0.053
Pt 0.875 0.098 0.553
Pt 0.380 0.512 0.357
Pt 0.880 0.512 0.143
Pt 0.620 0.488 0.643
Pt 0.125 0.902 0.447
Pt 0.375 0.098 0.947
Pt 0.120 0.488 0.857
Hf 0.252 0.249 0.650
Hf 0.500 0.500 0.000
Hf 0.000 0.500 0.500
Hf 0.248 0.751 0.150
Hf 0.752 0.249 0.850
Hf 0.748 0.751 0.350
Y 0.581 0.194 0.329
Y 0.081 0.194 0.171
Y 0.919 0.806 0.829
Y 0.419 0.806 0.671

---

4.
A geometry-optimized YScIr2 structure. Source: Alexandria, functional PBE.

Values from the calculation:
**N(E_F)**: 1.5 states/eV/cell
**Total magnetization**: 0.000 Bohr magnetons per cell
**Calculated volume**: 20.18 A^3/atom
**Calculated total energy**: -8.075 eV/atom
**E_form**: -0.446 eV/atom

Cell: 3.750 3.750 5.740 Å, 90.00 90.00 90.00°
Sites, in units of the cell vectors:
Sc 0.000 0.000 0.433
Y 0.500 0.500 0.803
Ir 0.500 0.500 0.307
Ir 0.000 0.000 0.956

---

5.
A geometry-optimized Mg3AgCl structure. Source: Alexandria, functional PBE.

Values from the calculation:
**Distance to the lowest polymorph of the same formula**: 0.259 eV/atom
**N(E_F)**: 1.8 states/eV/cell
**Total magnetization**: 0.000 Bohr magnetons per cell
**Calculated volume**: 23.63 A^3/atom
**Calculated total energy**: -1.774 eV/atom
**Uncorrected formation energy**: 0.122 eV/atom

Cell: 4.907 4.907 4.907 Å, 90.00 90.00 90.00°
Sites, in units of the cell vectors:
Mg 0.500 0.000 0.000
Mg 0.000 0.000 0.500
Mg 0.000 0.500 0.000
Cl 0.000 0.000 0.000
Ag 0.500 0.500 0.500

---

6.
A geometry-optimized LiPm2Cd structure. Source: Alexandria, functional PBE.

Values from the calculation:
**Distance to the lowest polymorph of the same formula**: 0.004 eV/atom
**N(E_F)**: 6.0 states/eV/cell
**Total magnetization**: 0.328 Bohr magnetons per cell
**Calculated volume**: 27.67 A^3/atom
**Calculated total energy**: -3.202 eV/atom
**E_form**: -0.120 eV/atom

Cell: 5.389 5.389 5.389 Å, 60.00 60.00 60.00°
Last column: magnetic moment on the atom in μB.
Sites, in units of the cell vectors:
Li 0.000 0.000 0.000  0.01
Cd 0.500 0.500 0.500  0.01
Pm 0.250 0.250 0.250  0.08
Pm 0.750 0.750 0.750  0.08

---

7.
A geometry-optimized LiCeY structure. Source: Alexandria, functional PBE.

Values from the calculation:
**Distance to the lowest polymorph of the same formula**: 0.000 eV/atom
**N(E_F)**: 12.2 states/eV/cell
**Total magnetization**: 2.385 Bohr magnetons per cell
**Calculated volume**: 27.60 A^3/atom
**Calculated total energy**: -4.626 eV/atom
**E_form**: 0.145 eV/atom

Cell: 3.452 3.452 13.899 Å, 90.00 90.00 90.00°
Last column: magnetic moment on the atom in μB.
Sites, in units of the cell vectors:
Li 0.000 0.500 0.948  0.01
Li 0.500 0.000 0.052  0.01
Y 0.500 0.000 0.403  0.01
Y 0.000 0.500 0.597  0.01
Ce 0.000 0.500 0.218  0.89
Ce 0.500 0.000 0.782  0.89

---

8.
A geometry-optimized SmY15Er4 structure. Source: Alexandria, functional PBE.

Values from the calculation:
**N(E_F)**: 28.6 states/eV/cell
**Total magnetization**: 0.000 Bohr magnetons per cell
**Calculated volume**: 31.93 A^3/atom
**Calculated total energy**: -5.972 eV/atom
**E_form**: 0.025 eV/atom

Cell: 5.034 5.034 25.199 Å, 90.00 90.00 90.00°
Sites, in units of the cell vectors:
Y 0.000 0.500 0.699
Y 0.000 0.500 0.101
Y 0.500 0.500 0.400
Y 0.000 0.500 0.500
Y 0.000 0.500 0.301
Y 0.500 0.000 0.699
Y 0.500 0.000 0.899
Y 0.500 0.000 0.101
Y 0.500 0.500 0.799
Y 0.500 0.000 0.301
Y 0.000 0.500 0.899
Y 0.500 0.000 0.500
Y 0.500 0.500 0.600
Y 0.500 0.500 0.201
Y 0.500 0.500 0.000
Er 0.000 0.000 0.201
Er 0.000 0.000 0.600
Er 0.000 0.000 0.799
Er 0.000 0.000 0.400
Sm 0.000 0.000 0.000

---

9.
A geometry-optimized HfCoCuNi structure. Source: Alexandria, functional PBE.

Values from the calculation:
**Distance to the lowest polymorph of the same formula**: 0.070 eV/atom
**N(E_F)**: 2.0 states/eV/cell
**Total magnetization**: 0.000 Bohr magnetons per cell
**Calculated volume**: 13.34 A^3/atom
**Calculated total energy**: -6.976 eV/atom
**E_form**: -0.242 eV/atom

Cell: 4.225 4.225 4.225 Å, 60.00 60.00 60.00°
Sites, in units of the cell vectors:
Ni 0.250 0.250 0.250
Cu 0.000 0.000 0.000
Co 0.750 0.750 0.750
Hf 0.500 0.500 0.500

---

10.
A geometry-optimized DyY5HoEr2 structure. Source: Alexandria, functional PBE.

Values from the calculation:
**N(E_F)**: 32.0 states/eV/cell
**Total magnetization**: 0.000 Bohr magnetons per cell
**Calculated volume**: 32.56 A^3/atom
**Calculated total energy**: -5.467 eV/atom
**E_form**: 0.158 eV/atom

Cell: 5.586 10.325 10.555 Å, 90.00 90.00 105.70°
Sites, in units of the cell vectors:
Y 0.615 0.229 0.523
Y 0.480 0.959 0.738
Y 0.385 0.771 0.023
Y 0.720 0.441 0.815
Y 0.520 0.041 0.238
Y 0.700 0.401 0.206
Y 0.300 0.599 0.706
Y 0.017 0.035 0.022
Y 0.983 0.965 0.522
Y 0.280 0.559 0.315
Ho 0.197 0.394 0.013
Ho 0.803 0.606 0.513
Er 0.110 0.220 0.738
Er 0.888 0.775 0.816
Er 0.112 0.225 0.316
Er 0.890 0.780 0.238
Dy 0.413 0.826 0.454
Dy 0.587 0.174 0.954

---

11.
A geometry-optimized YCo2Pb structure. Source: Alexandria, functional PBE.

Values from the calculation:
**N(E_F)**: 8.2 states/eV/cell
**Total magnetization**: 5.428 Bohr magnetons per cell
**Calculated volume**: 22.36 A^3/atom
**Calculated total energy**: -5.703 eV/atom
**E_form**: 0.393 eV/atom

Cell: 4.444 4.444 9.589 Å, 76.60 76.60 90.00°
Last column: magnetic moment on the atom in μB.
Sites, in units of the cell vectors:
Pb 0.750 0.250 0.500  0.03
Pb 0.000 0.000 0.000  0.03
Co 0.967 0.625 0.250  1.34
Co 0.875 0.033 0.750  1.54
Co 0.375 0.217 0.750  1.60
Co 0.783 0.125 0.250  1.34
Y 0.500 0.500 0.000  -0.09
Y 0.250 0.750 0.500  -0.09

---

12.
A geometry-optimized Zr2ScAu structure. Source: Alexandria, functional PBE.

Values from the calculation:
**N(E_F)**: 6.3 states/eV/cell
**Total magnetization**: 1.840 Bohr magnetons per cell
**Calculated volume**: 21.01 A^3/atom
**Calculated total energy**: -6.820 eV/atom
**E_form**: -0.144 eV/atom

Cell: 4.916 4.916 4.917 Å, 60.00 60.00 60.00°
Last column: magnetic moment on the atom in μB.
Sites, in units of the cell vectors:
Sc 0.500 0.500 0.500  0.21
Zr 0.250 0.250 0.250  0.79
Zr 0.000 0.000 0.000  0.29
Au 0.750 0.750 0.750  0.03

---

13.
A geometry-optimized K2PtSe structure. Source: Alexandria, functional PBE.

Values from the calculation:
**N(E_F)**: 0.9 states/eV/cell
**Total magnetization**: 0.000 Bohr magnetons per cell
**Calculated volume**: 24.31 A^3/atom
**Calculated total energy**: -3.137 eV/atom
**Uncorrected formation energy**: -0.207 eV/atom

Cell: 5.800 5.800 5.800 Å, 134.65 134.64 66.08°
Sites, in units of the cell vectors:
K 0.000 0.000 0.000
K 0.500 0.500 0.000
Pt 0.750 0.250 0.500
Se 0.250 0.750 0.500

---

14.
A geometry-optimized RbTlIrW2 structure. Source: Alexandria, functional PBE.

Values from the calculation:
**N(E_F)**: 10.3 states/eV/cell
**Total magnetization**: 0.000 Bohr magnetons per cell
**Calculated volume**: 23.81 A^3/atom
**Calculated total energy**: -3.728 eV/atom
**E_form**: 3.892 eV/atom

Cell: 4.708 5.372 4.708 Å, 90.00 90.00 90.00°
Sites, in units of the cell vectors:
Ir 0.500 0.500 0.500
W 0.500 0.000 0.000
W 0.000 0.000 0.500
Rb 0.000 0.000 0.000
Tl 0.000 0.500 0.000

---

15.
A geometry-optimized Sr2In4GaAu3 structure. Source: Alexandria, functional PBE.

Values from the calculation:
**N(E_F)**: 5.2 states/eV/cell
**Total magnetization**: 0.000 Bohr magnetons per cell
**Calculated volume**: 25.48 A^3/atom
**Calculated total energy**: -3.204 eV/atom
**E_form**: -0.486 eV/atom

Cell: 4.601 4.601 12.039 Å, 90.00 90.00 90.00°
Sites, in units of the cell vectors:
Au 0.500 0.000 0.860
Au 0.000 0.000 0.500
Au 0.000 0.500 0.140
Sr 0.500 0.000 0.250
Sr 0.000 0.500 0.750
In 0.500 0.000 0.633
In 0.000 0.500 0.367
In 0.000 0.000 0.000
In 0.500 0.500 0.000
Ga 0.500 0.500 0.500

---

16.
A geometry-optimized AlTcH6 structure. Source: Alexandria, functional PBE.

Values from the calculation:
**N(E_F)**: 0.1 states/eV/cell
**Total magnetization**: 0.000 Bohr magnetons per cell
**Calculated volume**: 8.00 A^3/atom
**Calculated total energy**: -4.272 eV/atom

Cell: 3.048 4.561 5.092 Å, 82.86 72.28 103.74°
Sites, in units of the cell vectors:
H 0.624 0.043 0.787
H 0.042 0.791 0.731
H 0.958 0.209 0.269
H 0.280 0.333 0.729
H 0.376 0.957 0.213
H 0.720 0.667 0.271
Al 0.500 0.500 0.000
Tc 0.000 0.000 0.000

---

17.
A geometry-optimized ErTm2Pb2 structure. Source: Alexandria, functional PBE.

Values from the calculation:
**Distance to the lowest polymorph of the same formula**: 0.000 eV/atom
**N(E_F)**: 6.0 states/eV/cell
**Total magnetization**: 0.000 Bohr magnetons per cell
**Calculated volume**: 29.08 A^3/atom
**Calculated total energy**: -4.584 eV/atom
**E_form**: -0.400 eV/atom

Cell: 4.940 6.484 9.408 Å, 90.00 105.22 90.00°
Sites, in units of the cell vectors:
Pb 0.425 0.021 0.850
Pb 0.800 0.527 0.599
Pb 0.200 0.027 0.401
Pb 0.575 0.521 0.150
Tm 0.187 0.526 0.375
Tm 0.813 0.026 0.625
Tm 0.001 0.272 0.002
Tm 0.999 0.772 0.998
Er 0.393 0.520 0.786
Er 0.607 0.020 0.214